Ag2S2O7 | PBEsol | optimized geometry

Values from the calculation:
Fermi-level density of states = 0.00 states/eV per atom
Energy = -5.70 eV per atom
Total moment = 0.00 μB per formula unit
Calculated volume = 284.35 Å³/cell
ΔE_f (raw) = -0.962 eV/atom
Crystal system = triclinic

Cell and atoms, written as CIF:
```
data_Ag2S2O7
_symmetry_space_group_name_H-M 'P -1'
_symmetry_Int_Tables_number 2
_symmetry_space_group_name_Hall '-P 1'
_cell_length_a 6.7001
_cell_length_b 6.8230
_cell_length_c 6.8454
_cell_angle_alpha 84.67
_cell_angle_beta 81.51
_cell_angle_gamma 66.84
loop_
_atom_site_label
_atom_site_type_symbol
_atom_site_fract_x
_atom_site_fract_y
_atom_site_fract_z
Ag1 Ag 0.2042 0.4151 0.3768
Ag2 Ag 0.2352 0.7671 0.9015
S1 S 0.2730 0.2768 0.8792
S2 S 0.3131 0.8663 0.3873
O1 O 0.1442 0.1516 0.9564
O2 O 0.1632 0.0861 0.4089
O3 O 0.1696 0.4526 0.7398
O4 O 0.2465 0.7383 0.2711
O5 O 0.3645 0.3472 0.0276
O6 O 0.4020 0.7554 0.5672
O7 O 0.4773 0.0967 0.7531
```